Below is a relaxed CaMg2Rh crystal, with properties calculated at the PBEsol level.

Space group: Immm
Energy of formation (meV per atom): -251
VASP energy (eV per atom): -3.68

```
data_CaMg2Rh
_chemical_formula_sum 'Ca1 Mg2 Rh1'
_cell_length_a 6.0310
_cell_length_b 6.0310
_cell_length_c 6.0310
_cell_angle_alpha 148.81
_cell_angle_beta 131.47
_cell_angle_gamma 58.83
_symmetry_space_group_name_H-M 'P 1'
_symmetry_Int_Tables_number 1
loop_
_symmetry_equiv_pos_as_xyz
'x,y,z'
loop_
_atom_site_label
_atom_site_type_symbol
_atom_site_fract_x
_atom_site_fract_y
_atom_site_fract_z
Ca1 Ca 0.0000 0.0000 0.0000
Mg1 Mg 0.2997 0.7997 0.5000
Mg2 Mg 0.7003 0.2003 0.5000
Rh1 Rh 0.5000 0.5000 0.0000
```